Er2Pd3Au3 | PBE-GGA | relaxed

Cell: 7.4250 7.4250 9.6224 Å, 90.00 90.00 120.00°
Space group R32 (No. 155, hexagonal axes)
Asymmetric unit:
Er: 0.0000 0.0000 0.2447 [6 per cell]
Pd: 0.0000 0.2402 0.0000 [9 per cell]
Au: 0.0000 0.7583 0.5000 [9 per cell]

DOS at the Fermi energy in states/eV/f.u.: 3.0
Total energy in eV/f.u.: -40.5
E above lowest polymorph in eV per atom: 0.000
Magnetization in μB/atom: 0.000
DFT formation energy in eV per atom: -0.75